DFT (PBE-GGA) results for a relaxed Ce2HoZn crystal.

Cell: 4.4139 4.4139 5.1102 Å, 90.00 90.00 90.00°
Atoms (fractional coordinates):
Ce1 0.0000 0.5000 0.0000
Ce2 0.5000 0.0000 0.0000
Ho1 0.0000 0.0000 0.5000
Zn1 0.5000 0.5000 0.5000

Output
M_tot: 1.07 μB/cell
density of states at the Fermi level: 9.783 states/eV/cell
crystal system: tetragonal
E above lowest polymorph: 0.0 kJ/mol of atoms
formation enthalpy at 0 K: -0.02 eV/atom
total DFT energy (no corrections): -4.45 eV/atom